1.
Th4Tl2In | PBE | optimized geometry

Summary:
**VASP energy**: -36.71 eV for the cell shown
**Calculated volume**: 32.14 A^3/atom

a = 5.4374 Å, b = 5.4374 Å, c = 9.3319 Å
α = 73.06°, β = 73.06°, γ = 60.00°
With the nearest neighbours (Å) after each atom.
Atoms (fractional coordinates):
Th (0.3771, 0.3771, 0.8686)  4 Tl 3.34-3.44, 3 In 3.35
Th (0.1252, 0.1252, 0.6244)  4 Tl 3.20-3.30, 1 In 3.30
Th (0.8748, 0.8748, 0.3756)  4 Tl 3.20-3.30, 1 In 3.30
Th (0.6229, 0.6229, 0.1314)  4 Tl 3.34-3.44, 3 In 3.35
Tl (0.7535, 0.7535, 0.7396)  8 Th 3.20-3.44
Tl (0.2465, 0.2465, 0.2604)  8 Th 3.20-3.44
In (0.0000, 0.0000, 0.0000)  8 Th 3.30-3.35

2.
CrHgP | PBE | optimized geometry

Summary:
**E above lowest polymorph**: 2 kJ/mol of formula units
**Calculated volume**: 17.57 A^3/atom

a = 3.0238 Å, b = 3.0247 Å, c = 11.7144 Å
α = 82.59°, β = 82.78°, γ = 90.02°
With the nearest neighbours (Å) after each atom.
Atoms (fractional coordinates):
Cr (0.2159, 0.7146, 0.0697)  5 P 2.34-2.55
Cr (0.7841, 0.2854, 0.9303)  5 P 2.34-2.55
P (0.6761, 0.1738, 0.1516)  5 Cr 2.34-2.55
P (0.3239, 0.8262, 0.8484)  5 Cr 2.34-2.55
Hg (0.0732, 0.5630, 0.3657)  5 Hg 3.02-3.10, 4 P 3.26-3.27
Hg (0.9268, 0.4370, 0.6343)  5 Hg 3.02-3.10, 4 P 3.26-3.27

3.
DyHoErCu | PBE | optimized geometry

Summary:
**VASP energy**: -18.26 eV for the cell shown
**Calculated volume**: 25.91 A^3/atom

a = 3.4659 Å, b = 3.4659 Å, c = 8.6281 Å
α = 90.00°, β = 90.00°, γ = 90.00°
With the nearest neighbours (Å) after each atom.
Atoms (fractional coordinates):
Cu (0.0000, 0.0000, 0.5693)  4 Er 2.97, 4 Ho 3.00
Er (0.5000, 0.5000, 0.3738)  4 Cu 2.97
Dy (0.0000, 0.0000, 0.0722)  4 Dy 3.47, 4 Er 3.57, 4 Ho 3.58
Ho (0.5000, 0.5000, 0.7694)  4 Cu 3.00

4.
In2CoMo | PBE | optimized geometry

Summary:
**E above lowest polymorph**: 96 kJ/mol of formula units
**Calculated volume**: 17.43 A^3/atom

a = 5.4314 Å, b = 5.4314 Å, c = 5.4314 Å
α = 147.28°, β = 125.48°, γ = 65.05°
With the nearest neighbours (Å) after each atom.
Atoms (fractional coordinates):
In (0.4781, 0.4781, 0.0000)  2 Co 2.59
In (0.0219, 0.0219, 0.0000)  2 Co 2.59
Co (0.2500, 0.7500, 0.5000)  4 In 2.59
Mo (0.7500, 0.2500, 0.5000)  4 Co 2.92, 8 In 2.92-3.25, 2 Mo 3.06

5.
Pr4SbAs2Se | PBE | optimized geometry

Summary:
**Raw formation energy**: -1540.8 meV/atom
**Calculated volume**: 29.43 A^3/atom

a = 4.3608 Å, b = 7.5860 Å, c = 7.5427 Å
α = 70.68°, β = 90.00°, γ = 90.00°
With the nearest neighbours (Å) after each atom.
Atoms (fractional coordinates):
As (0.0000, 0.0000, 0.0000)  6 Pr 3.05
As (0.5000, 0.0000, 0.5000)  6 Pr 3.02
Pr (0.5000, 0.7623, 0.2485)  3 As 3.02-3.05, 2 Se 3.13, 1 Sb 3.15
Pr (0.5000, 0.2377, 0.7515)  3 As 3.02-3.05, 2 Se 3.13, 1 Sb 3.15
Pr (0.0000, 0.2367, 0.2579)  3 As 3.02-3.05, 1 Se 3.12, 2 Sb 3.16
Pr (0.0000, 0.7633, 0.7421)  3 As 3.02-3.05, 1 Se 3.12, 2 Sb 3.16
Sb (0.5000, 0.5000, 0.0000)  6 Pr 3.15-3.16
Se (0.0000, 0.5000, 0.5000)  6 Pr 3.12-3.13

6.
AcNdTh | PBE | optimized geometry

Summary:
**E above lowest polymorph**: 0 kJ/mol of formula units
**Calculated volume**: 37.20 A^3/atom

a = 3.7381 Å, b = 3.7381 Å, c = 8.4134 Å
α = 102.84°, β = 102.84°, γ = 90.00°
With the nearest neighbours (Å) after each atom.
Atoms (fractional coordinates):
Nd (0.6795, 0.6795, 0.3589)  4 Th 3.57, 4 Nd 3.74
Ac (0.9911, 0.9911, 0.9821)  4 Th 3.69, 4 Ac 3.74, 4 Nd 4.01
Th (0.3295, 0.3295, 0.6590)  4 Nd 3.57, 4 Ac 3.69, 4 Th 3.74

7.
Ca3Sc3N5 | PBE | optimized geometry

Summary:
**Raw formation energy**: -1261.2 meV/atom
**Calculated volume**: 16.19 A^3/atom

a = 6.1910 Å, b = 7.3898 Å, c = 8.7987 Å
α = 106.20°, β = 108.48°, γ = 97.35°
With the nearest neighbours (Å) after each atom.
Atoms (fractional coordinates):
Sc (0.1165, 0.6960, 0.0405)  4 N 2.06-2.16
Sc (0.7297, 0.9545, 0.5677)  4 N 2.08-2.18
Sc (0.1685, 0.8628, 0.7221)  4 N 2.08-2.13
Sc (0.8315, 0.1372, 0.2779)  4 N 2.08-2.13
Sc (0.8835, 0.3040, 0.9595)  4 N 2.06-2.16
Sc (0.2703, 0.0455, 0.4323)  4 N 2.08-2.18
N (0.0016, 0.9227, 0.1851)  3 Sc 2.13-2.15
N (0.9984, 0.0773, 0.8149)  3 Sc 2.13-2.15
N (0.6822, 0.2644, 0.1002)  2 Sc 2.06-2.08
N (0.8648, 0.7059, 0.4994)  2 Sc 2.13
N (0.3178, 0.7356, 0.8998)  2 Sc 2.06-2.08
N (0.7750, 0.5209, 0.8649)  2 Sc 2.09-2.16
N (0.2250, 0.4791, 0.1351)  2 Sc 2.09-2.16
N (0.1352, 0.2941, 0.5006)  2 Sc 2.13
N (0.5807, 0.1003, 0.3897)  3 Sc 2.08-2.18
N (0.4193, 0.8997, 0.6103)  3 Sc 2.08-2.18
Ca (0.7959, 0.4348, 0.5891)  3 N 2.38-2.49
Ca (0.6857, 0.8430, 0.8884)  3 N 2.36-2.57
Ca (0.2041, 0.5652, 0.4109)  3 N 2.38-2.49
Ca (0.3437, 0.3944, 0.8015)  3 N 2.39-2.54
Ca (0.3143, 0.1570, 0.1116)  3 N 2.36-2.57
Ca (0.6563, 0.6056, 0.1985)  3 N 2.39-2.54

8.
Gd2MgS4 | PBE | optimized geometry

Summary:
**Raw formation energy**: -1823.1 meV/atom
**E above lowest polymorph**: 31 kJ/mol of formula units
**Calculated volume**: 20.91 A^3/atom

a = 7.2478 Å, b = 7.2478 Å, c = 7.2478 Å
α = 110.66°, β = 110.66°, γ = 107.12°
With the nearest neighbours (Å) after each atom.
Atoms (fractional coordinates):
Gd (0.8750, 0.7606, 0.3856)  6 S 2.72-2.96
Gd (0.3750, 0.4894, 0.6144)  6 S 2.72-2.96
Gd (0.5106, 0.1250, 0.8856)  6 S 2.72-2.96
Gd (0.2394, 0.6250, 0.1144)  6 S 2.72-2.96
S (0.1139, 0.2449, 0.7351)  1 Mg 2.61, 2 Gd 2.72-2.79
S (0.7551, 0.4902, 0.8691)  1 Mg 2.61, 2 Gd 2.72-2.79
S (0.6361, 0.8711, 0.6309)  1 Mg 2.61, 2 Gd 2.72-2.79
S (0.5098, 0.3789, 0.2649)  1 Mg 2.61, 2 Gd 2.72-2.79
S (0.1289, 0.7598, 0.7649)  1 Mg 2.61, 2 Gd 2.72-2.79
S (0.9949, 0.3639, 0.2351)  1 Mg 2.61, 2 Gd 2.72-2.79
S (0.6211, 0.8861, 0.1309)  1 Mg 2.61, 2 Gd 2.72-2.79
S (0.2402, 0.0051, 0.3691)  1 Mg 2.61, 2 Gd 2.72-2.79
Mg (0.0000, 0.0000, 0.0000)  4 S 2.61
Mg (0.7500, 0.2500, 0.5000)  4 S 2.61

9.
IrPt3F | PBE | optimized geometry

Summary:
**Raw formation energy**: 1249.8 meV/atom
**E above lowest polymorph**: 83 kJ/mol of formula units
**Calculated volume**: 22.59 A^3/atom

a = 4.8339 Å, b = 4.8339 Å, c = 4.8339 Å
α = 90.00°, β = 90.00°, γ = 90.00°
With the nearest neighbours (Å) after each atom.
Atoms (fractional coordinates):
Pt (0.5000, 0.0000, 0.0000)  2 Ir 2.42
Pt (0.0000, 0.0000, 0.5000)  2 Ir 2.42
Pt (0.0000, 0.5000, 0.0000)  2 Ir 2.42
Ir (0.0000, 0.0000, 0.0000)  6 Pt 2.42
F (0.5000, 0.5000, 0.5000)  12 Pt 3.42

10.
Na2UAs2Se6 | PBE | optimized geometry

Summary:
**Raw formation energy**: -684.9 meV/atom
**Calculated volume**: 27.07 A^3/atom

a = 6.9991 Å, b = 6.9991 Å, c = 7.4845 Å
α = 99.36°, β = 99.36°, γ = 120.68°
With the nearest neighbours (Å) after each atom.
Atoms (fractional coordinates):
Na (0.1630, 0.8370, 0.0000)  6 Se 3.02-3.14
Na (0.8370, 0.1630, 0.0000)  6 Se 3.02-3.14
Se (0.5806, 0.9294, 0.2857)  2 As 2.66-2.75, 1 U 2.86
Se (0.2616, 0.2616, 0.2836)  1 U 2.80, 2 As 2.84, 2 Na 3.03
Se (0.4194, 0.0706, 0.7143)  2 As 2.66-2.75, 1 U 2.86
Se (0.7384, 0.7384, 0.7164)  1 U 2.80, 2 As 2.84, 2 Na 3.03
Se (0.0706, 0.4194, 0.7143)  2 As 2.66-2.75, 1 U 2.86
Se (0.9294, 0.5806, 0.2857)  2 As 2.66-2.75, 1 U 2.86
As (0.3265, 0.6735, 0.5000)  6 Se 2.66-2.84
As (0.6735, 0.3265, 0.5000)  6 Se 2.66-2.84
U (0.0000, 0.0000, 0.5000)  6 Se 2.80-2.86

11.
CdCuRe2 | PBE | optimized geometry

Summary:
**VASP energy**: -27.11 eV for the cell shown
**Calculated volume**: 15.57 A^3/atom

a = 2.9899 Å, b = 2.9899 Å, c = 6.9678 Å
α = 90.00°, β = 90.00°, γ = 90.00°
With the nearest neighbours (Å) after each atom.
Atoms (fractional coordinates):
Cu (0.5000, 0.5000, 0.7500)  8 Re 2.51
Re (0.0000, 0.0000, 0.5545)  4 Cu 2.51, 1 Re 2.72
Re (0.0000, 0.0000, 0.9455)  4 Cu 2.51, 1 Re 2.72
Cd (0.5000, 0.5000, 0.2500)  4 Cd 2.99, 8 Re 3.00

12.
SmSc2Pb | PBE | optimized geometry

Summary:
**E above lowest polymorph**: 43 kJ/mol of formula units
**Calculated volume**: 26.63 A^3/atom

a = 3.7213 Å, b = 3.7213 Å, c = 7.6908 Å
α = 90.00°, β = 90.00°, γ = 90.00°
With the nearest neighbours (Å) after each atom.
Atoms (fractional coordinates):
Sm (0.5000, 0.5000, 0.5000)  8 Sc 3.39, 4 Sm 3.72
Sc (0.0000, 0.0000, 0.7786)  4 Pb 3.13, 4 Sm 3.39, 1 Sc 3.41
Sc (0.0000, 0.0000, 0.2214)  4 Pb 3.13, 4 Sm 3.39, 1 Sc 3.41
Pb (0.5000, 0.5000, 0.0000)  8 Sc 3.13

13.
Li2CdGa2 | PBE | optimized geometry

Summary:
**E above lowest polymorph**: 6 kJ/mol of formula units
**Calculated volume**: 18.15 A^3/atom

a = 4.6843 Å, b = 5.5795 Å, c = 8.2740 Å
α = 69.48°, β = 73.56°, γ = 65.18°
With the nearest neighbours (Å) after each atom.
Atoms (fractional coordinates):
Li (0.5620, 0.2335, 0.6425)  7 Ga 2.97-3.16, 3 Li 2.99-3.29, 4 Cd 3.01-3.18
Li (0.3422, 0.2635, 0.0520)  4 Ga 2.74-2.91, 2 Cd 2.87, 2 Li 2.99-3.00
Li (0.4380, 0.7665, 0.3575)  7 Ga 2.97-3.16, 3 Li 2.99-3.29, 4 Cd 3.01-3.18
Li (0.6578, 0.7365, 0.9480)  4 Ga 2.74-2.91, 2 Cd 2.87, 2 Li 2.99-3.00
Cd (0.2379, 0.7921, 0.7320)  3 Ga 2.73-2.77, 3 Li 2.87-3.01
Cd (0.7621, 0.2079, 0.2680)  3 Ga 2.73-2.77, 3 Li 2.87-3.01
Ga (0.9457, 0.2301, 0.8786)  2 Ga 2.60-2.69, 3 Li 2.74-2.76, 1 Cd 2.77
Ga (0.8697, 0.6645, 0.5961)  2 Ga 2.54-2.69, 2 Cd 2.73
Ga (0.0543, 0.7699, 0.1214)  2 Ga 2.60-2.69, 3 Li 2.74-2.76, 1 Cd 2.77
Ga (0.1303, 0.3355, 0.4039)  2 Ga 2.54-2.69, 2 Cd 2.73

14.
Nd2Cu3Si4 | PBE | optimized geometry

Summary:
**Raw formation energy**: -401.4 meV/atom
**Calculated volume**: 17.05 A^3/atom

a = 5.5992 Å, b = 7.4002 Å, c = 7.9167 Å
α = 90.00°, β = 110.71°, γ = 90.00°
With the nearest neighbours (Å) after each atom.
Atoms (fractional coordinates):
Cu (0.0288, 0.7500, 0.5577)  3 Si 2.39-2.46
Cu (0.5000, 0.5000, 0.0000)  6 Si 2.48-2.64
Cu (0.4712, 0.2500, 0.4423)  3 Si 2.39-2.46
Cu (0.9712, 0.2500, 0.4423)  3 Si 2.39-2.46
Cu (0.5288, 0.7500, 0.5577)  3 Si 2.39-2.46
Cu (0.0000, 0.0000, 0.0000)  6 Si 2.48-2.64
Nd (0.1104, 0.5971, 0.2208)  8 Si 3.02-3.23, 6 Cu 3.08-3.35
Nd (0.3896, 0.0971, 0.7792)  8 Si 3.02-3.23, 6 Cu 3.08-3.35
Nd (0.6104, 0.9029, 0.2208)  8 Si 3.02-3.23, 6 Cu 3.08-3.35
Nd (0.8896, 0.4029, 0.7792)  8 Si 3.02-3.23, 6 Cu 3.08-3.35
Si (0.3217, 0.4909, 0.6434)  5 Cu 2.46-2.71
Si (0.8217, 0.0091, 0.6434)  5 Cu 2.46-2.71
Si (0.8096, 0.2500, 0.1191)  3 Cu 2.39-2.48
Si (0.6904, 0.7500, 0.8809)  3 Cu 2.39-2.48
Si (0.3096, 0.2500, 0.1191)  3 Cu 2.39-2.48
Si (0.1904, 0.7500, 0.8809)  3 Cu 2.39-2.48
Si (0.1783, 0.9909, 0.3566)  5 Cu 2.46-2.71
Si (0.6783, 0.5091, 0.3566)  5 Cu 2.46-2.71

15.
PrEr2Ru | PBE | optimized geometry

Summary:
**E above lowest polymorph**: 6 kJ/mol of formula units
**Calculated volume**: 26.56 A^3/atom

a = 3.4324 Å, b = 3.4324 Å, c = 9.0180 Å
α = 90.00°, β = 90.00°, γ = 90.00°
With the nearest neighbours (Å) after each atom.
Atoms (fractional coordinates):
Er (0.0000, 0.0000, 0.8212)  4 Ru 2.91, 1 Er 3.23
Er (0.0000, 0.0000, 0.1788)  4 Ru 2.91, 1 Er 3.23
Ru (0.5000, 0.5000, 0.0000)  8 Er 2.91
Pr (0.5000, 0.5000, 0.5000)  4 Pr 3.43, 8 Er 3.78

16.
In2ReC | PBE | optimized geometry

Summary:
**E above lowest polymorph**: 319 kJ/mol of formula units
**Calculated volume**: 17.34 A^3/atom

a = 4.6119 Å, b = 4.6119 Å, c = 4.6119 Å
α = 60.00°, β = 60.00°, γ = 60.00°
With the nearest neighbours (Å) after each atom.
Atoms (fractional coordinates):
C (0.0000, 0.0000, 0.0000)  8 In 2.82
In (0.2500, 0.2500, 0.2500)  4 Re 2.82, 4 C 2.82
In (0.7500, 0.7500, 0.7500)  4 Re 2.82, 4 C 2.82
Re (0.5000, 0.5000, 0.5000)  8 In 2.82

17.
La3PrNd7 | PBE | optimized geometry

Summary:
**E above lowest polymorph**: 0 kJ/mol of formula units
**Calculated volume**: 36.95 A^3/atom

a = 6.5640 Å, b = 7.9284 Å, c = 7.9284 Å
α = 81.54°, β = 86.04°, γ = 86.04°
With the nearest neighbours (Å) after each atom.
Atoms (fractional coordinates):
Pr (0.5000, 0.5000, 0.5000)  4 Nd 3.28-3.54
La (0.0000, 0.8251, 0.1749)  7 Nd 3.37-3.64, 3 La 3.62-3.75
La (0.0000, 0.1749, 0.8251)  7 Nd 3.37-3.64, 3 La 3.62-3.75
La (0.5000, 0.0000, 0.0000)  6 Nd 3.56-3.77, 4 La 3.75
Nd (0.7887, 0.2365, 0.2365)  5 Nd 3.40-3.61, 1 Pr 3.54, 3 La 3.54-3.56
Nd (0.2113, 0.7635, 0.7635)  5 Nd 3.40-3.61, 1 Pr 3.54, 3 La 3.54-3.56
Nd (0.2612, 0.4285, 0.0817)  6 Nd 3.40-3.79, 3 La 3.62-3.77
Nd (0.7388, 0.5715, 0.9183)  6 Nd 3.40-3.79, 3 La 3.62-3.77
Nd (0.2612, 0.0817, 0.4285)  6 Nd 3.40-3.79, 3 La 3.62-3.77
Nd (0.7388, 0.9183, 0.5715)  6 Nd 3.40-3.79, 3 La 3.62-3.77
Nd (0.0000, 0.5000, 0.5000)  2 Pr 3.28, 2 La 3.37, 2 Nd 3.57

18.
La2YMgNi | PBE | optimized geometry

Summary:
**E above lowest polymorph**: 24 kJ/mol of formula units
**Calculated volume**: 30.30 A^3/atom

a = 5.4347 Å, b = 5.4347 Å, c = 5.1290 Å
α = 90.00°, β = 90.00°, γ = 90.00°
With the nearest neighbours (Å) after each atom.
Atoms (fractional coordinates):
La (0.0000, 0.5000, 0.0000)  2 Ni 2.72
La (0.5000, 0.0000, 0.0000)  2 Ni 2.72
Mg (0.0000, 0.0000, 0.5000)  2 Ni 2.56
Y (0.5000, 0.5000, 0.5000)  8 La 3.74, 4 Mg 3.84
Ni (0.0000, 0.0000, 0.0000)  2 Mg 2.56, 4 La 2.72

19.
ZrScNbRe | PBE | optimized geometry

Summary:
**VASP energy**: -37.52 eV for the cell shown
**Calculated volume**: 18.64 A^3/atom

a = 4.7247 Å, b = 4.7247 Å, c = 4.7247 Å
α = 60.00°, β = 60.00°, γ = 60.00°
With the nearest neighbours (Å) after each atom.
Atoms (fractional coordinates):
Re (0.2500, 0.2500, 0.2500)  4 Nb 2.89, 4 Zr 2.89
Sc (0.7500, 0.7500, 0.7500)  4 Zr 2.89, 4 Nb 2.89
Nb (0.5000, 0.5000, 0.5000)  4 Sc 2.89, 4 Re 2.89
Zr (0.0000, 0.0000, 0.0000)  4 Re 2.89, 4 Sc 2.89

| no. | total magnetic moment (μB/f.u.) | ρ (g/cm3) |
| --- | --- | --- |
| 1 | 0.0 | 10.714 |
| 2 | 0.0 | 8.936 |
| 3 | 0.0 | 8.944 |
| 4 | 1.4 | 9.159 |
| 5 | 0.0 | 6.447 |
| 6 | 0.0 | 8.975 |
| 7 | 0.0 | 3.032 |
| 8 | 14.0 | 5.299 |
| 9 | 0.0 | 11.709 |
| 10 | 2.0 | 5.061 |
| 11 | 0.0 | 14.619 |
| 12 | 0.0 | 6.977 |
| 13 | 0.0 | 4.864 |
| 14 | 0.0 | 6.402 |
| 15 | 0.0 | 9.010 |
| 16 | 0.0 | 10.243 |
| 17 | 0.0 | 6.404 |
| 18 | 0.7 | 4.929 |
| 19 | 0.0 | 9.247 |